Entry 1:
La2W | the Alexandria database | GGA-PBE | relaxed; N(E_F) = 4.7 states/eV/f.u.; distance to the lowest polymorph of the same formula = 1154 meV per atom; energy of formation from the pure elements = 4.450 eV/f.u.; volume = 26.635 Å³ per atom; VASP energy = -6.119 eV/atom
1.0
2.647 2.236 5.010
-3.185 0.484 5.170
1.234 -3.681 4.694
La W
4 2
direct
0.125 0.625 0.625
0.625 0.125 0.625
0.625 0.625 0.125
0.625 0.625 0.625
0.250 0.250 0.250
0.000 0.000 0.000

=====

Entry 2:
Al6Ge5 | the Alexandria database | GGA-PBE | relaxed; energy of formation from the pure elements = 0.465 eV/f.u.; volume = 20.525 Å³ per atom; VASP energy = -4.098 eV/atom
1.0
7.728 -0.001 -0.001
-0.885 7.677 -0.001
-0.885 -0.993 7.612
Al Ge
12 10
direct
0.330 0.016 0.928
0.670 0.984 0.072
0.928 0.330 0.016
0.072 0.670 0.984
0.984 0.072 0.670
0.572 0.484 0.170
0.016 0.928 0.330
0.830 0.428 0.516
0.428 0.516 0.830
0.484 0.170 0.572
0.170 0.572 0.484
0.516 0.830 0.428
0.250 0.899 0.601
0.857 0.857 0.857
0.601 0.250 0.899
0.357 0.357 0.357
0.899 0.601 0.250
0.143 0.143 0.143
0.750 0.101 0.399
0.643 0.643 0.643
0.399 0.750 0.101
0.101 0.399 0.750